Record 1
A relaxed structure of CaErSbAu. Source: Alexandria via LeMat-Bulk, functional PBE.

Results
For the density of states at the Fermi level, the calculation gives 3.0 states/eV/cell. The calculation puts the uncorrected formation energy at -0.78 eV per atom. The size of the total moment is 0.00 μB per formula unit. As for the total energy: -17.1 eV per cell.

a = 5.2282 Å, b = 5.2282 Å, c = 5.2282 Å
α = 60.00°, β = 60.00°, γ = 60.00°
Positions (direct):
Er (0.5000, 0.5000, 0.5000)
Ca (0.0000, 0.0000, 0.0000)
Au (0.2500, 0.2500, 0.2500)
Sb (0.7500, 0.7500, 0.7500)

=====

Record 2
A relaxed structure of Cs2Rb8Na3. Source: Alexandria via LeMat-Bulk, functional PBE.

Results
For the density of states at the Fermi level, the calculation gives 11.0 states/eV/cell. The size of the total moment is 0.00 μB per formula unit. As for the total energy: -13.0 eV per cell. The value obtained for the formation energy is 29 meV/atom. The relative energy among the computed polymorphs comes out at 0 meV/atom.

a = 4.9600 Å, b = 16.0951 Å, c = 15.0609 Å
α = 118.24°, β = 90.00°, γ = 90.00°
Positions (direct):
Rb (0.5000, 0.6802, 0.6329)
Rb (0.0000, 0.9999, 0.2322)
Rb (0.5000, 0.3229, 0.9550)
Rb (0.0000, 0.5203, 0.2632)
Rb (0.0000, 0.4797, 0.7368)
Rb (0.0000, 0.0001, 0.7678)
Rb (0.5000, 0.3198, 0.3671)
Rb (0.5000, 0.6771, 0.0450)
Cs (0.5000, 0.8286, 0.4135)
Cs (0.5000, 0.1714, 0.5865)
Na (0.0000, 0.1950, 0.0969)
Na (0.0000, 0.8050, 0.9031)
Na (0.5000, 0.0000, 0.0000)

=====

Record 3
A relaxed structure of Ta2TcAg. Source: Alexandria via LeMat-Bulk, functional PBE.

Results
For the density of states at the Fermi level, the calculation gives 3.8 states/eV/cell. The size of the total moment is 0.00 μB per formula unit. As for the total energy: -35.9 eV per cell. The value obtained for the formation energy is 262 meV/atom. The relative energy among the computed polymorphs comes out at 198 meV/atom.

a = 5.1026 Å, b = 5.1026 Å, c = 5.1026 Å
α = 133.80°, β = 133.80°, γ = 67.40°
Positions (direct):
Ag (0.7500, 0.2500, 0.5000)
Ta (0.0000, 0.0000, 0.0000)
Ta (0.2500, 0.7500, 0.5000)
Tc (0.5000, 0.5000, 0.0000)

=====

Record 4
A relaxed structure of CeGe3Pd3. Source: Alexandria via LeMat-Bulk, functional PBE.

Results
For the density of states at the Fermi level, the calculation gives 14.2 states/eV/cell. The size of the total moment is 0.86 μB per formula unit. As for the total energy: -77.0 eV per cell. The value obtained for the formation energy is -449 meV/atom. The relative energy among the computed polymorphs comes out at 27 meV/atom.

a = 4.5494 Å, b = 8.9972 Å, c = 9.0057 Å
α = 120.07°, β = 90.00°, γ = 90.00°
Positions (direct):
Pd (0.2500, 0.6202, 0.6925)
Pd (0.7500, 0.6921, 0.0730)
Pd (0.7500, 0.9279, 0.6203)
Pd (0.2500, 0.3079, 0.9270)
Pd (0.7500, 0.3798, 0.3075)
Pd (0.2500, 0.0721, 0.3797)
Ge (0.2500, 0.0484, 0.6473)
Ge (0.2500, 0.3521, 0.4006)
Ge (0.7500, 0.9516, 0.3527)
Ge (0.7500, 0.6479, 0.5994)
Ge (0.7500, 0.3998, 0.0482)
Ge (0.2500, 0.6002, 0.9518)
Ce (0.7500, 0.3337, 0.6667)
Ce (0.2500, 0.6663, 0.3333)